1.
Here is a relaxed ThScP2Rh5 crystal from the Alexandria database. Energies are from PBE-GGA.

```
ThScP2Rh5
1.0
-0.866 1.782 -3.545
2.057 -2.902 -1.960
-8.553 -5.579 -0.715
Rh P Sc Th
5 2 1 1
Direct
0.500 0.000 0.182
0.000 0.500 0.818
0.500 0.500 0.500
0.500 0.000 0.818
0.000 0.500 0.182
0.500 0.500 0.277
0.500 0.500 0.723
0.000 0.000 0.000
0.000 0.000 0.500
```

Space group ... P4/mmm, No. 123
Formation energy from the elements ... -785 meV per atom
Size of the total moment ... 0.00 μB/f.u.



2.
Here is a relaxed MgNbAu crystal from the Alexandria database. Energies are from PBE-GGA.

```
MgNbAu
1.0
3.831 0.000 0.000
0.000 3.831 0.000
0.000 0.000 7.743
Mg Nb Au
2 2 2
Direct
0.000 0.000 0.500
0.500 0.500 0.500
0.000 0.500 0.101
0.500 0.000 0.899
0.000 0.500 0.749
0.500 0.000 0.251
```

Space group ... P4/nmm, No. 129
Formation energy from the elements ... 40 meV per atom
Size of the total moment ... 0.00 μB/f.u.



3.
Here is a relaxed SrNbFe3 crystal from the Alexandria database. Energies are from PBE-GGA.

```
SrNbFe3
1.0
4.754 0.000 0.000
0.000 4.754 0.000
0.000 0.000 4.754
Nb Fe Sr
1 3 1
Direct
0.000 0.000 0.000
0.000 0.500 0.000
0.500 0.000 0.000
0.000 0.000 0.500
0.500 0.500 0.500
```

Space group ... Pm-3m, No. 221
Formation energy from the elements ... 966 meV per atom
Size of the total moment ... 5.85 μB/f.u.



4.
Here is a relaxed SrTe2Se crystal from the Alexandria database. Energies are from PBE-GGA.

```
SrTe2Se
1.0
4.256 0.000 0.000
0.000 4.779 0.047
0.000 3.037 6.399
Sr Te Se
1 2 1
Direct
0.500 0.750 0.750
0.000 0.145 0.987
0.000 0.355 0.513
0.500 0.250 0.250
```

Space group ... P2/m, No. 10
Size of the total moment ... 0.00 μB/f.u.
ΔE_f (raw) ... -69 kJ/mol of atoms



5.
Here is a relaxed SrFePt2 crystal from the Alexandria database. Energies are from PBE-GGA.

```
SrFePt2
1.0
-2.658 -3.254 2.774
-1.598 -2.273 -4.198
2.348 -1.834 0.099
Sr Fe Pt
1 1 2
Direct
0.500 0.000 0.500
0.000 0.500 0.500
0.500 0.500 0.000
0.000 0.000 0.000
```

Space group ... P4/mmm, No. 123
Formation energy from the elements ... -43 meV per atom
Size of the total moment ... 3.52 μB/f.u.



6.
Here is a relaxed AlGa6Sn crystal from the Alexandria database. Energies are from PBE-GGA.

```
AlGa6Sn
1.0
4.265 0.000 0.000
0.000 4.265 0.000
0.000 0.000 8.518
Ga Al Sn
6 1 1
Direct
0.000 0.500 0.732
0.000 0.500 0.268
0.500 0.000 0.732
0.500 0.000 0.268
0.500 0.500 0.500
0.500 0.500 0.000
0.000 0.000 0.500
0.000 0.000 0.000
```

Space group ... P4/mmm, No. 123
Formation energy from the elements ... 45 meV per atom
Size of the total moment ... 0.00 μB/f.u.



7.
Here is a relaxed Ba2SbPd4Pb3 crystal from the Alexandria database. Energies are from PBE-GGA.

```
Ba2SbPd4Pb3
1.0
4.950 0.000 0.000
0.000 4.950 0.000
0.000 0.000 10.849
Pb Pd Ba Sb
3 4 2 1
Direct
0.500 0.000 0.883
0.000 0.500 0.117
0.000 0.000 0.500
0.000 0.000 0.000
0.500 0.000 0.623
0.000 0.500 0.377
0.500 0.500 0.000
0.500 0.000 0.247
0.000 0.500 0.753
0.500 0.500 0.500
```

Space group ... P-4m2, No. 115
Size of the total moment ... 0.00 μB/f.u.
ΔE_f (raw) ... -55 kJ/mol of atoms



8.
Here is a relaxed ScCdBr2 crystal from the Alexandria database. Energies are from PBE-GGA.

```
ScCdBr2
1.0
6.131 -0.003 -0.009
-3.144 5.009 0.007
-0.156 1.289 3.356
Br Cd Sc
2 1 1
Direct
0.500 0.000 0.500
0.000 0.000 0.000
0.000 0.500 0.500
0.500 0.500 0.000
```

Space group ... C2/m, No. 12
Size of the total moment ... 0.00 μB/f.u.
ΔE_f (raw) ... -47 kJ/mol of atoms



9.
Here is a relaxed BaHgMo2 crystal from the Alexandria database. Energies are from PBE-GGA.

```
BaHgMo2
1.0
-2.734 2.479 2.961
-3.645 -0.458 -2.982
-1.017 -3.192 1.734
Mo Hg Ba
2 1 1
Direct
0.500 0.500 0.000
0.000 0.000 0.000
0.000 0.500 0.500
0.500 0.000 0.500
```

Space group ... P4/mmm, No. 123
Formation energy from the elements ... 1384 meV per atom
Size of the total moment ... 0.00 μB/f.u.



10.
Here is a relaxed Mg2H5Ir2 crystal from the Alexandria database. Energies are from PBE-GGA.

```
Mg2H5Ir2
1.0
-1.282 2.071 -1.909
-4.372 -6.355 -1.498
-1.691 1.532 2.799
Mg H Ir
2 5 2
Direct
0.704 0.733 0.356
0.480 0.273 0.125
0.319 0.966 0.473
0.640 0.599 0.789
0.852 0.034 0.007
0.978 0.268 0.623
0.091 0.500 0.239
0.294 0.915 0.947
0.086 0.491 0.735
```

Space group ... P1, No. 1
Calculated total energy ... -4.40 eV/atom
Size of the total moment ... 0.00 μB/f.u.



11.
Here is a relaxed Ce4DyU3P8 crystal from the Alexandria database. Energies are from PBE-GGA.

```
Ce4DyU3P8
1.0
-0.650 2.326 7.648
-4.864 -6.268 1.493
7.245 -1.251 -3.209
Ce U P Dy
4 3 8 1
Direct
0.500 0.000 0.000
0.000 0.000 0.000
0.500 0.000 0.500
0.000 0.000 0.500
0.000 0.500 0.500
0.500 0.500 0.500
0.500 0.500 0.000
0.248 0.740 0.991
0.257 0.260 0.009
0.752 0.260 0.009
0.752 0.260 0.504
0.746 0.738 0.492
0.248 0.740 0.496
0.254 0.262 0.508
0.743 0.740 0.991
0.000 0.500 0.000
```

Space group ... R-3m, No. 166
Formation energy from the elements ... -1306 meV per atom
Size of the total moment ... 9.20 μB/f.u.



12.
Here is a relaxed Y3TlO crystal from the Alexandria database. Energies are from PBE-GGA.

```
Y3TlO
1.0
-1.934 5.952 2.273
-6.361 -1.666 -1.048
-4.482 -0.115 6.238
Tl Y O
2 6 2
Direct
0.882 0.382 0.236
0.618 0.118 0.764
0.372 0.372 0.256
0.120 0.373 0.760
0.628 0.628 0.744
0.627 0.880 0.240
0.120 0.867 0.760
0.133 0.880 0.240
0.250 0.750 0.500
0.000 0.000 0.000
```

Space group ... I-4m2, No. 119
Size of the total moment ... 0.00 μB/f.u.
ΔE_f (raw) ... -99 kJ/mol of atoms